# 1
A plane-wave DFT calculation with PBE was carried out for crystalline AcGeHRh at its relaxed geometry.

The structure in POSCAR format:
```
AcGeHRh
1.0
4.245 0.000 0.000
0.000 4.245 0.000
0.000 0.000 8.315
H Ac Ge Rh
2 2 2 2
direct
0.000 0.000 0.500
0.500 0.500 0.500
0.500 0.000 0.672
0.000 0.500 0.328
0.500 0.000 0.160
0.000 0.500 0.840
0.500 0.500 0.000
0.000 0.000 0.000
```

Spin magnetization = 0.0 μB/f.u.
E = -45.3 eV per cell
Space group = P4/nmm (129)

=====

# 2
A plane-wave DFT calculation with PBE was carried out for crystalline Ac2GeHRh6 at its relaxed geometry.

The structure in POSCAR format:
```
Ac2GeHRh6
1.0
-1.739 3.604 4.846
-2.956 -4.903 2.591
1.362 -1.751 5.870
H Rh Ac Ge
1 6 2 1
direct
0.500 0.500 0.000
0.272 0.272 0.001
0.273 0.273 0.453
0.273 0.727 0.000
0.727 0.273 0.000
0.727 0.727 0.547
0.728 0.728 0.999
0.749 0.251 0.500
0.251 0.749 0.500
0.000 0.000 0.000
```

Spin magnetization = 0.0 μB/f.u.
E = -65.3 eV per cell
Space group = C2/m (12)

=====

# 3
A plane-wave DFT calculation with PBE was carried out for crystalline AcGeHRu at its relaxed geometry.

The structure in POSCAR format:
```
AcGeHRu
1.0
4.363 0.000 0.000
0.000 4.363 0.000
0.000 0.000 7.897
H Ru Ac Ge
2 2 2 2
direct
0.000 0.000 0.500
0.500 0.500 0.500
0.500 0.500 0.000
0.000 0.000 0.000
0.500 0.000 0.676
0.000 0.500 0.324
0.500 0.000 0.150
0.000 0.500 0.850
```

Spin magnetization = 0.0 μB/f.u.
E = -47.9 eV per cell
Space group = P4/nmm (129)

=====

# 4
A plane-wave DFT calculation with PBE was carried out for crystalline AcGeH2Ru at its relaxed geometry.

The structure in POSCAR format:
```
AcGeH2Ru
1.0
-2.201 1.263 3.261
-2.202 -5.311 -2.047
3.808 -3.021 3.740
Ru H Ge Ac
2 4 2 2
direct
0.000 0.000 0.500
0.000 0.000 0.000
0.148 0.296 0.951
0.852 0.704 0.451
0.852 0.704 0.049
0.148 0.296 0.549
0.572 0.144 0.250
0.428 0.856 0.750
0.300 0.599 0.250
0.700 0.401 0.750
```

Spin magnetization = 0.0 μB/f.u.
E = -54.3 eV per cell
Space group = Cmcm (63)